1.
A plane-wave DFT calculation with PBE-GGA was carried out for crystalline KCa2Ga at its relaxed geometry.

Summary:
The final energy comes out at -2.065 eV per atom. For the energy of formation from the pure elements, the calculation gives -0.033 eV/atom.

a = 4.0476 Å, b = 4.0476 Å, c = 36.0581 Å
α = 90.00°, β = 90.00°, γ = 120.00°
Last column: nearest neighbours and their distance in Å.
Space group R-3m (No. 166, hexagonal axes)
One atom of each set of equivalent atoms:
K 0.0000 0.0000 0.0000 (multiplicity 3)  6 K 4.05, 2 Ca 4.06
Ca 0.0000 0.0000 0.1127 (multiplicity 6)  3 Ga 3.04
Ga 0.0000 0.0000 0.5000 (multiplicity 3)  6 Ca 3.04

***

2.
A plane-wave DFT calculation with PBE-GGA was carried out for crystalline KCa2Ga2 at its relaxed geometry.

Summary:
The energy above the most stable polymorph in this dataset comes out at 0.248 eV/atom. The final energy comes out at -2.188 eV per atom. For the energy of formation from the pure elements, the calculation gives 0.043 eV/atom.

a = 5.5897 Å, b = 5.5897 Å, c = 11.9816 Å
α = 90.00°, β = 90.00°, γ = 90.00°
Last column: nearest neighbours and their distance in Å.
Space group I4/mmm (No. 139)
One atom of each set of equivalent atoms:
K 0.0000 0.0000 0.0000 (multiplicity 2)  10 Ca 4.08-4.39, 8 Ga 4.10
Ca 0.0000 0.0000 0.3408 (multiplicity 4)  4 Ga 3.00
Ga 0.0000 0.5000 0.2500 (multiplicity 4)  4 Ca 3.00

***

3.
A plane-wave DFT calculation with PBE-GGA was carried out for crystalline KCa2Ga2 at its relaxed geometry.

Summary:
The energy above the most stable polymorph in this dataset comes out at 0.033 eV/atom. The final energy comes out at -2.403 eV per atom. For the energy of formation from the pure elements, the calculation gives -0.172 eV/atom.

a = 9.0283 Å, b = 9.0283 Å, c = 3.5875 Å
α = 90.00°, β = 90.00°, γ = 90.00°
Last column: nearest neighbours and their distance in Å.
Space group P4/mbm (No. 127)
One atom of each set of equivalent atoms:
K 0.0000 0.0000 0.0000 (multiplicity 2)  4 Ca 3.48, 2 K 3.59, 8 Ga 3.88
Ca 0.1418 0.3582 0.0000 (multiplicity 4)  6 Ga 3.19-3.20, 2 K 3.48
Ga 0.1505 0.6505 0.5000 (multiplicity 4)  6 Ca 3.19-3.20

***

4.
A plane-wave DFT calculation with PBE-GGA was carried out for crystalline KCaGa2 at its relaxed geometry.

Summary:
The energy above the most stable polymorph in this dataset comes out at 0.215 eV/atom. The final energy comes out at -2.097 eV per atom. For the energy of formation from the pure elements, the calculation gives 0.191 eV/atom.

a = 8.7065 Å, b = 8.7065 Å, c = 6.6737 Å
α = 90.00°, β = 90.00°, γ = 90.00°
Last column: nearest neighbours and their distance in Å.
Space group I-42d (No. 122)
One atom of each set of equivalent atoms:
K 0.0000 0.0000 0.0000 (multiplicity 4)  4 Ga 3.31, 2 Ca 3.34
Ca 0.0000 0.0000 0.5000 (multiplicity 4)  4 Ga 3.07, 2 K 3.34
Ga 0.2293 0.2500 0.6250 (multiplicity 8)  2 Ca 3.07, 2 K 3.31, 2 Ga 3.36

***

5.
A plane-wave DFT calculation with PBE-GGA was carried out for crystalline KCaGa2 at its relaxed geometry.

Summary:
The energy above the most stable polymorph in this dataset comes out at 0.000 eV/atom. The final energy comes out at -2.312 eV per atom. For the energy of formation from the pure elements, the calculation gives -0.024 eV/atom.

a = 7.6733 Å, b = 7.6733 Å, c = 7.6733 Å
α = 90.00°, β = 90.00°, γ = 90.00°
Last column: nearest neighbours and their distance in Å.
Space group Fm-3m (No. 225)
One atom of each set of equivalent atoms:
K 0.0000 0.0000 0.0000 (multiplicity 4)  8 Ga 3.32
Ca 0.0000 0.0000 0.5000 (multiplicity 4)  8 Ga 3.32
Ga 0.2500 0.2500 0.2500 (multiplicity 8)  4 K 3.32, 4 Ca 3.32

***

6.
A plane-wave DFT calculation with PBE-GGA was carried out for crystalline KCa2Ga at its relaxed geometry.

Summary:
The final energy comes out at -1.738 eV per atom. For the energy of formation from the pure elements, the calculation gives 0.294 eV/atom.

a = 8.2648 Å, b = 8.2648 Å, c = 14.9678 Å
α = 90.00°, β = 90.00°, γ = 90.00°
Last column: nearest neighbours and their distance in Å.
Space group I-42d (No. 122)
One atom of each set of equivalent atoms:
K 0.0000 0.0000 0.0000 (multiplicity 4)  8 Ca 4.97-5.00
Ca 0.0027 0.2500 0.6250 (multiplicity 8)  2 Ga 2.79
Ga 0.0000 0.0000 0.5000 (multiplicity 4)  4 Ca 2.79

***

7.
A plane-wave DFT calculation with PBE-GGA was carried out for crystalline KCa2Ga2 at its relaxed geometry.

Summary:
The energy above the most stable polymorph in this dataset comes out at 0.048 eV/atom. The final energy comes out at -2.388 eV per atom. For the energy of formation from the pure elements, the calculation gives -0.157 eV/atom.

a = 5.5835 Å, b = 5.5835 Å, c = 10.5098 Å
α = 90.00°, β = 90.00°, γ = 90.00°
Last column: nearest neighbours and their distance in Å.
Space group I4/mmm (No. 139)
One atom of each set of equivalent atoms:
K 0.0000 0.0000 0.0000 (multiplicity 2)  8 Ca 3.83, 10 Ga 4.04-4.13
Ca 0.0000 0.5000 0.2500 (multiplicity 4)  4 Ga 3.13
Ga 0.0000 0.0000 0.3844 (multiplicity 4)  1 Ga 2.43

***

8.
A plane-wave DFT calculation with PBE-GGA was carried out for crystalline KCa2Ga2 at its relaxed geometry.

Summary:
The energy above the most stable polymorph in this dataset comes out at 0.000 eV/atom. The final energy comes out at -2.436 eV per atom. For the energy of formation from the pure elements, the calculation gives -0.205 eV/atom.

a = 8.7825 Å, b = 8.7825 Å, c = 3.9095 Å
α = 90.00°, β = 90.00°, γ = 90.00°
Last column: nearest neighbours and their distance in Å.
Space group P4/mbm (No. 127)
One atom of each set of equivalent atoms:
K 0.0000 0.0000 0.0000 (multiplicity 2)  4 Ga 3.56, 8 Ca 3.78, 2 K 3.91
Ca 0.1752 0.3248 0.5000 (multiplicity 4)  6 Ga 3.23-3.31
Ga 0.1097 0.6097 0.0000 (multiplicity 4)  1 Ga 2.72